1.
Crystalline Al2FeW at its relaxed geometry, computed with PBE.

Properties
Relative energy among the computed polymorphs, meV/atom: 126
Final energy, eV/f.u.: -28.96
Symmetry: I4/mmm (139)
Formation enthalpy at 0 K, meV/atom: -15.5
Fermi-level density of states, states/eV/f.u.: 2.924

Cell lengths 4.806, 4.806, 4.806 Å; angles 133.31, 133.31, 68.17 degrees
Fractional positions:
Al: 0.250 0.750 0.500
Al: 0.750 0.250 0.500
Fe: 0.000 0.000 0.000
W: 0.500 0.500 0.000


2.
Crystalline RbMnGaCl4 at its relaxed geometry, computed with PBE.

Properties
Final energy, eV/f.u.: -29.25
Symmetry: P2_1/m (11)
Raw formation energy, meV/atom: -1242
Fermi-level density of states, states/eV/f.u.: 0.000

Cell lengths 7.012, 7.346, 9.510 Å; angles 90.00, 110.46, 90.00 degrees
Fractional positions:
Rb: 0.234 0.250 0.433
Rb: 0.766 0.750 0.567
Mn: 0.054 0.250 0.802
Mn: 0.946 0.750 0.198
Ga: 0.302 0.750 0.974
Ga: 0.698 0.250 0.026
Cl: 0.106 0.250 0.061
Cl: 0.210 0.505 0.736
Cl: 0.210 0.995 0.736
Cl: 0.290 0.750 0.344
Cl: 0.710 0.250 0.656
Cl: 0.790 0.005 0.264
Cl: 0.790 0.495 0.264
Cl: 0.894 0.750 0.939